# Hf2SnI, relaxed, DFT PBE-GGA
data_Hf2SnI
_cell_length_a 7.141
_cell_length_b 7.141
_cell_length_c 7.141
_cell_angle_alpha 90.00
_cell_angle_beta 90.00
_cell_angle_gamma 90.00
_symmetry_space_group_name_H-M 'F m -3 m'
_symmetry_Int_Tables_number 225
_symmetry_space_group_name_Hall '-F 4 2 3'
loop_
_atom_site_label
_atom_site_type_symbol
_atom_site_fract_x
_atom_site_fract_y
_atom_site_fract_z
Hf1 Hf 0.250 0.250 0.250
Sn1 Sn 0.000 0.000 0.000
I1 I 0.000 0.000 0.500
# Formation energy from raw total energies (meV/atom): 12.9
# Energy relative to the lowest polymorph listed for this composition (eV per atom): 0.000
# ρ (Mg/m³): 10.993


# LaSm2Tm8, relaxed, DFT PBE-GGA
data_LaSm2Tm8
_cell_length_a 18.048
_cell_length_b 5.011
_cell_length_c 7.918
_cell_angle_alpha 90.00
_cell_angle_beta 105.28
_cell_angle_gamma 90.00
_symmetry_space_group_name_H-M 'C 1 2/m 1'
_symmetry_Int_Tables_number 12
loop_
_symmetry_equiv_pos_as_xyz
'x,y,z'
'-x,-y,-z'
'-x,y,-z'
'x,-y,z'
'x+1/2,y+1/2,z'
'-x+1/2,-y+1/2,-z'
'-x+1/2,y+1/2,-z'
'x+1/2,-y+1/2,z'
loop_
_atom_site_label
_atom_site_type_symbol
_atom_site_fract_x
_atom_site_fract_y
_atom_site_fract_z
La1 La 0.000 0.000 0.000
Sm1 Sm 0.228 0.500 0.637
Tm1 Tm 0.045 0.500 0.725
Tm2 Tm 0.090 0.000 0.458
Tm3 Tm 0.137 0.500 0.182
Tm4 Tm 0.182 0.000 0.907
# Calculated formation energy (eV per atom): 0.032
# Energy relative to the lowest polymorph listed for this composition (eV per atom): 0.000
# ρ (Mg/m³): 8.611


# LiMn2HgAs, relaxed, DFT PBE-GGA
data_LiMn2HgAs
_cell_length_a 4.753
_cell_length_b 4.753
_cell_length_c 4.738
_cell_angle_alpha 90.00
_cell_angle_beta 90.00
_cell_angle_gamma 90.00
_symmetry_space_group_name_H-M 'P 4/m m m'
_symmetry_Int_Tables_number 123
_symmetry_space_group_name_Hall '-P 4 2'
loop_
_atom_site_label
_atom_site_type_symbol
_atom_site_fract_x
_atom_site_fract_y
_atom_site_fract_z
Li1 Li 0.000 0.000 0.000
Mn1 Mn 0.000 0.500 0.500
Hg1 Hg 0.500 0.500 0.000
As1 As 0.000 0.000 0.500
# Calculated formation energy (eV per atom): 0.196
# ρ (Mg/m³): 6.086


no.,total DFT energy (no corrections) (eV/cell)
1,-101.63
2,-99.57
3,-24.23